No. 1
Below is a relaxed BiSe3Br crystal, with properties calculated at the PBE level.

a = 5.6506 Å, b = 5.6506 Å, c = 5.6506 Å
α = 90.00°, β = 90.00°, γ = 90.00°
With the nearest neighbours (Å) after each atom.
Atoms (fractional coordinates):
Se 0.0000 0.5000 0.0000  2 Bi 2.83
Se 0.5000 0.0000 0.0000  2 Bi 2.83
Se 0.0000 0.0000 0.5000  2 Bi 2.83
Bi 0.0000 0.0000 0.0000  6 Se 2.83
Br 0.5000 0.5000 0.5000  12 Se 4.00

ΔE to the lowest computed polymorph ... 0.0 meV/atom
DOS at the Fermi energy ... 11.137 states/eV/cell
Total energy ... -2.586 eV per atom
M_tot ... 0.7769 μB/atom
Energy relative to the elements, uncorrected ... 0.615 eV per atom

No. 2
Below is a relaxed CdIn2Ag crystal, with properties calculated at the PBE level.

a = 5.9760 Å, b = 5.9760 Å, c = 5.3441 Å
α = 75.22°, β = 75.22°, γ = 30.23°
With the nearest neighbours (Å) after each atom.
Atoms (fractional coordinates):
Cd 0.7765 0.7765 0.7766  2 Ag 2.98, 2 Cd 3.12, 7 In 3.14-3.30
In 0.0152 0.0152 0.9550  4 Ag 3.06-3.16, 3 In 3.12-3.43, 3 Cd 3.14-3.30
In 0.2240 0.2240 0.3069  3 Ag 3.09-3.32, 3 In 3.12-3.43, 4 Cd 3.15
Ag 0.4843 0.4843 0.4615  2 Cd 2.98, 7 In 3.06-3.32, 2 Ag 3.12

DOS at the Fermi energy ... 1.169 states/eV/cell
Total energy ... -2.294 eV per atom
M_tot ... 0.0000 μB/atom
ΔH_f (0 K) ... 0.017 eV/atom

No. 3
Below is a relaxed Y2TiB2Ru5 crystal, with properties calculated at the PBE level.

a = 3.1187 Å, b = 9.6357 Å, c = 9.6357 Å
α = 90.00°, β = 90.00°, γ = 90.00°
With the nearest neighbours (Å) after each atom.
Atoms (fractional coordinates):
Ru 0.5000 0.7832 0.9302  2 B 2.25
Ru 0.5000 0.5000 0.0000  4 B 2.29
Ru 0.5000 0.4302 0.2832  2 B 2.25
Y 0.0000 0.1756 0.3244  3 B 2.75-2.92, 10 Ru 2.86-3.02
Ti 0.0000 0.0000 0.0000  8 Ru 2.69
B 0.0000 0.3774 0.1226  6 Ru 2.25-2.29
Y 0.0000 0.8244 0.6756  3 B 2.75-2.92, 10 Ru 2.86-3.02
Ru 0.5000 0.2168 0.0698  2 B 2.25
Ru 0.5000 0.9302 0.2168  2 B 2.25
B 0.0000 0.8774 0.3774  6 Ru 2.25-2.29
Ti 0.0000 0.5000 0.5000  8 Ru 2.69
Ru 0.5000 0.0698 0.7832  2 B 2.25
B 0.0000 0.1226 0.6226  6 Ru 2.25-2.29
Y 0.0000 0.3244 0.8244  3 B 2.75-2.92, 10 Ru 2.86-3.02
Y 0.0000 0.6756 0.1756  3 B 2.75-2.92, 10 Ru 2.86-3.02
Ru 0.5000 0.0000 0.5000  4 B 2.29
Ru 0.5000 0.5698 0.7168  2 B 2.25
B 0.0000 0.6226 0.8774  6 Ru 2.25-2.29
Ru 0.5000 0.2832 0.5698  2 B 2.25
Ru 0.5000 0.7168 0.4302  2 B 2.25

DOS at the Fermi energy ... 14.617 states/eV/cell
Total energy ... -8.546 eV per atom
M_tot ... 0.0000 μB/atom
ΔH_f (0 K) ... -0.490 eV/atom

No. 4
Below is a relaxed Nb6Te8Pb crystal, with properties calculated at the PBE level.

a = 10.7932 Å, b = 10.7932 Å, c = 3.6557 Å
α = 90.00°, β = 90.00°, γ = 120.00°
With the nearest neighbours (Å) after each atom.
Atoms (fractional coordinates):
Te 0.3347 0.0648 0.2472  4 Nb 2.80-3.02
Te 0.6667 0.3333 0.7512  6 Nb 2.92
Nb 0.4882 0.3874 0.2517  6 Te 2.80-3.02, 2 Nb 2.94-2.96
Te 0.7301 0.6653 0.2472  4 Nb 2.80-3.02
Te 0.6653 0.9352 0.7528  4 Nb 2.80-3.02
Te 0.2699 0.3347 0.7528  4 Nb 2.80-3.02
Te 0.0648 0.7301 0.7528  4 Nb 2.80-3.02
Te 0.3333 0.6667 0.2488  6 Nb 2.92
Nb 0.6126 0.1008 0.2517  6 Te 2.80-3.02, 2 Nb 2.94-2.96
Nb 0.3874 0.8992 0.7483  6 Te 2.80-3.02, 2 Nb 2.94-2.96
Nb 0.1008 0.4882 0.7483  6 Te 2.80-3.02, 2 Nb 2.94-2.96
Pb 0.0000 0.0000 0.5000  6 Te 3.44, 2 Pb 3.66
Nb 0.5118 0.6126 0.7483  6 Te 2.80-3.02, 2 Nb 2.94-2.96
Nb 0.8992 0.5118 0.2517  6 Te 2.80-3.02, 2 Nb 2.94-2.96
Te 0.9352 0.2699 0.2472  4 Nb 2.80-3.02

DOS at the Fermi energy ... 6.931 states/eV/cell
Total energy ... -6.353 eV per atom
M_tot ... 0.0000 μB/atom
Energy relative to the elements, uncorrected ... -0.402 eV per atom